! DyAlGa (PBE-GGA, optimized geometry); values from VASP
! Formation energy   -0.322 eV per atom
! Fermi-level density of states   2.0 states/eV per cell
! Space group   I4mm
&SYSTEM
  ibrav = 0, nat = 3, ntyp = 3
/
ATOMIC_SPECIES
Al 26.98 Al.upf
Dy 162.50 Dy.upf
Ga 69.72 Ga.upf
CELL_PARAMETERS angstrom
3.353 0.000 0.000
0.000 3.353 0.000
-1.677 -1.677 5.576
ATOMIC_POSITIONS angstrom
Al 1.677 1.677 2.093
Dy 1.677 1.677 5.560
Ga 0.000 0.000 3.499